{"formula": "Sr2Ac4Nd", "functional": "PBE", "state": "optimized geometry", "e_tot_ev_per_atom": -3.450, "n_ef_per_ev_atom": 1.535, "delta_e_f_ev_per_atom": 0.06, "vol_a3_per_cell": 323.3, "sg": "No. 65", "lattice": [[2.001, -20.401, 0.000], [2.001, 20.401, 0.000], [0.000, 0.000, 3.960]], "species": ["Sr", "Sr", "Ac", "Ac", "Ac", "Ac", "Nd"], "frac_coords": [[0.206, 0.794, 0.000], [0.794, 0.206, 0.000], [0.064, 0.936, 0.000], [0.369, 0.631, 0.500], [0.631, 0.369, 0.500], [0.936, 0.064, 0.000], [0.500, 0.500, 0.500]]}